Arrangement w

A plane-wave DFT calculation with SCAN was carried out for a PBEsol-optimized structure of Ta2PbO6.

a b c (Å): 15.7366 5.8797 5.2636
angles (deg): 90.00 90.00 90.00
With the nearest neighbours (Å) after each atom.
Fractional coordinates of all 36 atoms:
Ta 0.1705 0.1766 0.1980  4 O 1.82-2.03
Ta 0.1705 0.8234 0.6980  4 O 1.82-2.03
Ta 0.3295 0.3234 0.6980  4 O 1.82-2.03
Ta 0.3295 0.6766 0.1980  4 O 1.82-2.03
Ta 0.6705 0.3234 0.8020  4 O 1.82-2.03
Ta 0.6705 0.6766 0.3020  4 O 1.82-2.03
Ta 0.8295 0.1766 0.3020  4 O 1.82-2.03
Ta 0.8295 0.8234 0.8020  4 O 1.82-2.03
Pb 0.0000 0.2836 0.7500  6 O 2.48-2.52
Pb 0.0000 0.7164 0.2500  6 O 2.48-2.52
Pb 0.5000 0.2164 0.2500  6 O 2.48-2.52
Pb 0.5000 0.7836 0.7500  6 O 2.48-2.52
O 0.0935 0.3926 0.1088  1 Ta 1.82
O 0.0935 0.6074 0.6088  1 Ta 1.82
O 0.1107 0.0708 0.4968  2 Ta 1.94-2.03
O 0.1107 0.9292 0.9968  2 Ta 1.94-2.03
O 0.2429 0.1415 0.8729  2 Ta 1.96-2.07
O 0.2429 0.8585 0.3729  2 Ta 1.96-2.07
O 0.2571 0.3585 0.3729  2 Ta 1.96-2.07
O 0.2571 0.6415 0.8729  2 Ta 1.96-2.07
O 0.3893 0.4292 0.9968  2 Ta 1.94-2.03
O 0.3893 0.5708 0.4968  2 Ta 1.94-2.03
O 0.4065 0.1074 0.6088  1 Ta 1.82
O 0.4065 0.8926 0.1088  1 Ta 1.82
O 0.5935 0.1074 0.8912  1 Ta 1.82
O 0.5935 0.8926 0.3912  1 Ta 1.82
O 0.6107 0.4292 0.5032  2 Ta 1.94-2.03
O 0.6107 0.5708 0.0032  2 Ta 1.94-2.03
O 0.7429 0.3585 0.1271  2 Ta 1.96-2.07
O 0.7429 0.6415 0.6271  2 Ta 1.96-2.07
O 0.7571 0.1415 0.6271  2 Ta 1.96-2.07
O 0.7571 0.8585 0.1271  2 Ta 1.96-2.07
O 0.8893 0.0708 0.0032  2 Ta 1.94-2.03
O 0.8893 0.9292 0.5032  2 Ta 1.94-2.03
O 0.9065 0.3926 0.3912  1 Ta 1.82
O 0.9065 0.6074 0.8912  1 Ta 1.82

Space-group type ... Pbcn
Volume ... 487.0 Å³/cell
Crystal system ... orthorhombic

***

Arrangement x

A plane-wave DFT calculation with SCAN was carried out for a PBEsol-optimized structure of Ta2PbO6.

a b c (Å): 11.0662 7.6448 5.6650
angles (deg): 90.00 90.00 90.00
With the nearest neighbours (Å) after each atom.
Fractional coordinates of all 36 atoms:
Ta 0.1425 0.0033 0.0375  6 O 1.92-2.11
Ta 0.1425 0.4967 0.0375  6 O 1.92-2.11
Ta 0.3575 0.5033 0.5375  6 O 1.92-2.11
Ta 0.3575 0.9967 0.5375  6 O 1.92-2.11
Ta 0.6425 0.0033 0.4625  6 O 1.92-2.11
Ta 0.6425 0.4967 0.4625  6 O 1.92-2.11
Ta 0.8575 0.5033 0.9625  6 O 1.92-2.11
Ta 0.8575 0.9967 0.9625  6 O 1.92-2.11
Pb 0.0382 0.7500 0.5382  8 O 2.54-2.71
Pb 0.4618 0.2500 0.0382  8 O 2.54-2.71
Pb 0.5382 0.7500 0.9618  8 O 2.54-2.71
Pb 0.9618 0.2500 0.4618  8 O 2.54-2.71
O 0.0224 0.0358 0.7839  2 Ta 1.97-2.11
O 0.0224 0.4642 0.7839  2 Ta 1.97-2.11
O 0.1306 0.2500 0.1372  2 Ta 1.97
O 0.1467 0.7500 0.9675  2 Ta 1.98
O 0.2158 0.5489 0.3530  2 Ta 1.92-2.00
O 0.2158 0.9511 0.3530  2 Ta 1.92-2.00
O 0.2842 0.0489 0.8530  2 Ta 1.92-2.00
O 0.2842 0.4511 0.8530  2 Ta 1.92-2.00
O 0.3533 0.2500 0.4675  2 Ta 1.98
O 0.3694 0.7500 0.6372  2 Ta 1.97
O 0.4776 0.5358 0.2839  2 Ta 1.97-2.11
O 0.4776 0.9642 0.2839  2 Ta 1.97-2.11
O 0.5224 0.0358 0.7161  2 Ta 1.97-2.11
O 0.5224 0.4642 0.7161  2 Ta 1.97-2.11
O 0.6306 0.2500 0.3628  2 Ta 1.97
O 0.6467 0.7500 0.5325  2 Ta 1.98
O 0.7158 0.5489 0.1470  2 Ta 1.92-2.00
O 0.7158 0.9511 0.1470  2 Ta 1.92-2.00
O 0.7842 0.0489 0.6470  2 Ta 1.92-2.00
O 0.7842 0.4511 0.6470  2 Ta 1.92-2.00
O 0.8533 0.2500 0.0325  2 Ta 1.98
O 0.8694 0.7500 0.8628  2 Ta 1.97
O 0.9776 0.5358 0.2161  2 Ta 1.97-2.11
O 0.9776 0.9642 0.2161  2 Ta 1.97-2.11

Space-group type ... Pnma
Volume ... 479.3 Å³/cell
Crystal system ... orthorhombic

***

It is arrangement x that is the most stable of them.

***

Arrangement w

A plane-wave DFT calculation with SCAN was carried out for a PBEsol-optimized structure of Te2PbO.

a b c (Å): 7.0922 7.0922 7.0922
angles (deg): 90.00 90.00 90.00
With the nearest neighbours (Å) after each atom.
Fractional coordinates of all 16 atoms:
Te 0.2500 0.2500 0.2500  4 O 3.07, 4 Pb 3.07
Te 0.2500 0.2500 0.7500  4 O 3.07, 4 Pb 3.07
Te 0.2500 0.7500 0.2500  4 O 3.07, 4 Pb 3.07
Te 0.2500 0.7500 0.7500  4 O 3.07, 4 Pb 3.07
Te 0.7500 0.2500 0.2500  4 O 3.07, 4 Pb 3.07
Te 0.7500 0.2500 0.7500  4 O 3.07, 4 Pb 3.07
Te 0.7500 0.7500 0.2500  4 O 3.07, 4 Pb 3.07
Te 0.7500 0.7500 0.7500  4 O 3.07, 4 Pb 3.07
Pb 0.0000 0.0000 0.0000  8 Te 3.07
Pb 0.0000 0.5000 0.5000  8 Te 3.07
Pb 0.5000 0.0000 0.5000  8 Te 3.07
Pb 0.5000 0.5000 0.0000  8 Te 3.07
O 0.0000 0.0000 0.5000  8 Te 3.07
O 0.0000 0.5000 0.0000  8 Te 3.07
O 0.5000 0.0000 0.0000  8 Te 3.07
O 0.5000 0.5000 0.5000  8 Te 3.07

Space-group type ... Fm-3m
Volume ... 356.7 Å³/cell
Crystal system ... cubic

***

Arrangement x

A plane-wave DFT calculation with SCAN was carried out for a PBEsol-optimized structure of Te2PbO.

a b c (Å): 5.9921 5.9921 12.8042
angles (deg): 90.00 90.00 90.00
With the nearest neighbours (Å) after each atom.
Fractional coordinates of all 16 atoms:
Te 0.0941 0.2500 0.1250  2 O 2.26
Te 0.2500 0.5941 0.3750  2 O 2.26
Te 0.2500 0.9059 0.8750  2 O 2.26
Te 0.4059 0.2500 0.6250  2 O 2.26
Te 0.5941 0.7500 0.6250  2 O 2.26
Te 0.7500 0.0941 0.8750  2 O 2.26
Te 0.7500 0.4059 0.3750  2 O 2.26
Te 0.9059 0.7500 0.1250  2 O 2.26
Pb 0.0000 0.0000 0.5000  4 Te 3.27
Pb 0.0000 0.5000 0.7500  4 Te 3.27
Pb 0.5000 0.0000 0.2500  4 Te 3.27
Pb 0.5000 0.5000 0.0000  4 Te 3.27
O 0.0000 0.0000 0.0000  4 Te 2.26
O 0.0000 0.5000 0.2500  4 Te 2.26
O 0.5000 0.0000 0.7500  4 Te 2.26
O 0.5000 0.5000 0.5000  4 Te 2.26

Space-group type ... I-42d
Volume ... 459.7 Å³/cell
Crystal system ... tetragonal

***

It is arrangement x that is the most stable of them.

***

Arrangement w

A plane-wave DFT calculation with SCAN was carried out for a PBEsol-optimized structure of TePbO2.

a b c (Å): 4.6845 4.6845 13.7090
angles (deg): 90.00 90.00 90.00
With the nearest neighbours (Å) after each atom.
Fractional coordinates of all 16 atoms:
Te 0.0000 0.0000 0.0000  4 O 2.27
Te 0.0000 0.5000 0.2500  4 O 2.27
Te 0.5000 0.0000 0.7500  4 O 2.27
Te 0.5000 0.5000 0.5000  4 O 2.27
Pb 0.0000 0.0000 0.5000  4 O 2.52
Pb 0.0000 0.5000 0.7500  4 O 2.52
Pb 0.5000 0.0000 0.2500  4 O 2.52
Pb 0.5000 0.5000 0.0000  4 O 2.52
O 0.1965 0.2500 0.1250  2 Te 2.27, 2 Pb 2.52
O 0.2500 0.6965 0.3750  2 Te 2.27, 2 Pb 2.52
O 0.2500 0.8035 0.8750  2 Te 2.27, 2 Pb 2.52
O 0.3035 0.2500 0.6250  2 Te 2.27, 2 Pb 2.52
O 0.6965 0.7500 0.6250  2 Te 2.27, 2 Pb 2.52
O 0.7500 0.1965 0.8750  2 Te 2.27, 2 Pb 2.52
O 0.7500 0.3035 0.3750  2 Te 2.27, 2 Pb 2.52
O 0.8035 0.7500 0.1250  2 Te 2.27, 2 Pb 2.52

Space-group type ... I-42d
Volume ... 300.8 Å³/cell
Crystal system ... tetragonal

***

Arrangement x

A plane-wave DFT calculation with SCAN was carried out for a PBEsol-optimized structure of TePbO2.

a b c (Å): 3.5444 3.5444 20.9978
angles (deg): 90.00 90.00 120.00
With the nearest neighbours (Å) after each atom.
Fractional coordinates of all 12 atoms:
Te 0.0000 0.0000 0.0000  6 O 2.27
Te 0.3333 0.6667 0.6667  6 O 2.27
Te 0.6667 0.3333 0.3333  6 O 2.27
Pb 0.0000 0.0000 0.5000  2 O 2.51
Pb 0.3333 0.6667 0.1667  2 O 2.51
Pb 0.6667 0.3333 0.8333  2 O 2.51
O 0.0000 0.0000 0.3805  3 Te 2.27, 1 Pb 2.51
O 0.0000 0.0000 0.6195  3 Te 2.27, 1 Pb 2.51
O 0.3333 0.6667 0.0471  3 Te 2.27, 1 Pb 2.51
O 0.3333 0.6667 0.2862  3 Te 2.27, 1 Pb 2.51
O 0.6667 0.3333 0.7138  3 Te 2.27, 1 Pb 2.51
O 0.6667 0.3333 0.9529  3 Te 2.27, 1 Pb 2.51

Space-group type ... R-3m
Volume ... 228.4 Å³/cell
Crystal system ... trigonal

***

It is arrangement x that is the most stable of them.

***

Arrangement w

A plane-wave DFT calculation with SCAN was carried out for a PBEsol-optimized structure of ZrTiPb2O6.

a b c (Å): 5.6359 5.6359 4.2626
angles (deg): 90.00 90.00 90.00
With the nearest neighbours (Å) after each atom.
Fractional coordinates of all 10 atoms:
Zr 0.0000 0.0000 0.0000  5 O 1.98-2.08
Ti 0.5000 0.5000 0.9871  5 O 1.76-1.96
Pb 0.0000 0.5000 0.4400  4 O 2.52
Pb 0.5000 0.0000 0.4400  4 O 2.52
O 0.0000 0.0000 0.5345  1 Zr 1.98
O 0.2583 0.2583 0.0777  1 Ti 1.96, 1 Zr 2.08
O 0.2583 0.7417 0.0777  1 Ti 1.96, 1 Zr 2.08
O 0.5000 0.5000 0.5737  1 Ti 1.76
O 0.7417 0.2583 0.0777  1 Ti 1.96, 1 Zr 2.08
O 0.7417 0.7417 0.0777  1 Ti 1.96, 1 Zr 2.08

Space-group type ... P4mm
Volume ... 135.4 Å³/cell
Crystal system ... tetragonal

***

Arrangement x

A plane-wave DFT calculation with SCAN was carried out for a PBEsol-optimized structure of ZrTiPb2O6.

a b c (Å): 5.7593 5.7593 5.7593
angles (deg): 59.41 59.41 59.41
With the nearest neighbours (Å) after each atom.
Fractional coordinates of all 10 atoms:
Zr 0.0000 0.0000 0.0000  6 O 2.01-2.18
Ti 0.5000 0.5000 0.5000  6 O 1.89-2.06
Pb 0.2332 0.2332 0.2332  3 O 2.49
Pb 0.7310 0.7310 0.7310  3 O 2.46
O 0.2676 0.2676 0.7689  1 Ti 1.89
O 0.2676 0.7689 0.2676  1 Ti 1.89
O 0.2833 0.7527 0.7527  1 Zr 2.01, 1 Ti 2.06
O 0.7527 0.2833 0.7527  1 Zr 2.01, 1 Ti 2.06
O 0.7527 0.7527 0.2833  1 Zr 2.01, 1 Ti 2.06
O 0.7689 0.2676 0.2676  1 Ti 1.89

Space-group type ... R3m
Volume ... 133.3 Å³/cell
Crystal system ... trigonal

***

It is arrangement w that is the most stable of them.